The following is a DFT calculation (PBE) of a relaxed HfNb2F crystal.

CIF file:
```
data_HfNb2F
_cell_length_a 4.6218
_cell_length_b 4.6218
_cell_length_c 4.6218
_cell_angle_alpha 60.00
_cell_angle_beta 60.00
_cell_angle_gamma 60.00
_space_group_name_H-M_alt 'P 1'
_space_group_IT_number 1
_space_group_name_Hall 'P 1'
loop_
_atom_site_label
_atom_site_type_symbol
_atom_site_fract_x
_atom_site_fract_y
_atom_site_fract_z
Nb1 Nb 0.2500 0.2500 0.2500
Nb2 Nb 0.7500 0.7500 0.7500
Hf1 Hf 0.5000 0.5000 0.5000
F1 F 0.0000 0.0000 0.0000
```

E_tot: -7.622 eV/atom



The following is a DFT calculation (PBE) of a relaxed Ce2NbRh crystal.

CIF file:
```
data_Ce2NbRh
_cell_length_a 3.0106
_cell_length_b 3.0106
_cell_length_c 10.6842
_cell_angle_alpha 81.90
_cell_angle_beta 81.90
_cell_angle_gamma 60.00
_space_group_name_H-M_alt 'P 1'
_space_group_IT_number 1
_space_group_name_Hall 'P 1'
loop_
_atom_site_label
_atom_site_type_symbol
_atom_site_fract_x
_atom_site_fract_y
_atom_site_fract_z
Nb1 Nb 0.0000 0.0000 0.0000
Rh1 Rh 0.5000 0.5000 0.5000
Ce1 Ce 0.0908 0.0908 0.7277
Ce2 Ce 0.9092 0.9092 0.2723
```

energy of formation: 0.15 eV per atom



The following is a DFT calculation (PBE) of a relaxed AlZnSi crystal.

CIF file:
```
data_AlZnSi
_cell_length_a 4.8409
_cell_length_b 4.8409
_cell_length_c 4.8409
_cell_angle_alpha 144.41
_cell_angle_beta 134.20
_cell_angle_gamma 59.32
_space_group_name_H-M_alt 'P 1'
_space_group_IT_number 1
_space_group_name_Hall 'P 1'
loop_
_atom_site_label
_atom_site_type_symbol
_atom_site_fract_x
_atom_site_fract_y
_atom_site_fract_z
Zn1 Zn 0.6678 0.6678 0.0000
Si1 Si 0.3345 0.3345 0.0000
Al1 Al 0.9978 0.9978 0.0000
```

E_tot: -3.274 eV/atom



The following is a DFT calculation (PBE) of a relaxed Sc2Si4Ni3Pt crystal.

CIF file:
```
data_Sc2Si4Ni3Pt
_cell_length_a 3.8739
_cell_length_b 3.8739
_cell_length_c 9.6520
_cell_angle_alpha 90.00
_cell_angle_beta 90.00
_cell_angle_gamma 90.00
_space_group_name_H-M_alt 'P 1'
_space_group_IT_number 1
_space_group_name_Hall 'P 1'
loop_
_atom_site_label
_atom_site_type_symbol
_atom_site_fract_x
_atom_site_fract_y
_atom_site_fract_z
Sc1 Sc 0.5000 0.0000 0.2400
Sc2 Sc 0.0000 0.5000 0.7600
Si1 Si 0.5000 0.5000 0.0000
Si2 Si 0.0000 0.0000 0.0000
Si3 Si 0.5000 0.0000 0.6460
Si4 Si 0.0000 0.5000 0.3540
Ni1 Ni 0.0000 0.0000 0.5000
Ni2 Ni 0.5000 0.0000 0.8749
Ni3 Ni 0.0000 0.5000 0.1251
Pt1 Pt 0.5000 0.5000 0.5000
```

E_tot: -6.614 eV/atom



The following is a DFT calculation (PBE) of a relaxed SrOs crystal.

CIF file:
```
data_SrOs
_cell_length_a 11.7084
_cell_length_b 11.7084
_cell_length_c 4.2555
_cell_angle_alpha 90.00
_cell_angle_beta 90.00
_cell_angle_gamma 90.00
_space_group_name_H-M_alt 'P 1'
_space_group_IT_number 1
_space_group_name_Hall 'P 1'
loop_
_atom_site_label
_atom_site_type_symbol
_atom_site_fract_x
_atom_site_fract_y
_atom_site_fract_z
Sr1 Sr 0.6718 0.6745 0.5000
Sr2 Sr 0.3282 0.3255 0.5000
Sr3 Sr 0.3255 0.6718 0.5000
Sr4 Sr 0.6745 0.3282 0.5000
Sr5 Sr 0.0000 0.3100 0.0000
Sr6 Sr 0.0000 0.6899 0.0000
Sr7 Sr 0.6899 0.0000 0.0000
Sr8 Sr 0.3100 0.0000 0.0000
Os1 Os 0.8951 0.4866 0.5000
Os2 Os 0.1049 0.5134 0.5000
Os3 Os 0.5134 0.8951 0.5000
Os4 Os 0.4866 0.1049 0.5000
Os5 Os 0.8066 0.5132 0.0000
Os6 Os 0.1934 0.4868 0.0000
Os7 Os 0.4868 0.8066 0.0000
Os8 Os 0.5132 0.1934 0.0000
```

energy of formation: 0.36 eV per atom



The following is a DFT calculation (PBE) of a relaxed Si2TeIr crystal.

CIF file:
```
data_Si2TeIr
_cell_length_a 4.2208
_cell_length_b 4.4087
_cell_length_c 4.4114
_cell_angle_alpha 68.69
_cell_angle_beta 90.00
_cell_angle_gamma 90.00
_space_group_name_H-M_alt 'P 1'
_space_group_IT_number 1
_space_group_name_Hall 'P 1'
loop_
_atom_site_label
_atom_site_type_symbol
_atom_site_fract_x
_atom_site_fract_y
_atom_site_fract_z
Ir1 Ir 0.5000 0.7945 0.7945
Si1 Si 0.0000 0.9616 0.9619
Si2 Si 0.5000 0.1719 0.1716
Te1 Te 0.0000 0.5720 0.5720
```

E_tot: -5.705 eV/atom



Number 1: ρ 9.12 g cm⁻³. Number 2: ρ 9.55 g cm⁻³. Number 3: ρ 4.27 g cm⁻³. Number 4: ρ 6.57 g cm⁻³. Number 5: ρ 6.33 g cm⁻³. Number 6: ρ 8.16 g cm⁻³.